The following is a DFT calculation (GGA-PBE) of crystalline LiPrSmBe at its relaxed geometry.

The total moment is 0.01 Bohr magnetons per cell. As for the crystal system: cubic. The calculation puts the density of states at the Fermi level at 6.2 states/eV/f.u. The value obtained for the formation energy is 0.7 eV/f.u.

The space group is F-43m (No. 216) and the conventional cell measures 7.274, 7.274 and 7.274 Å, with angles of 90.00, 90.00 and 90.00 degrees. Symmetry generates all atoms from Li at (0.000, 0.000, 0.000), Pr at (0.250, 0.250, 0.750), Sm at (0.250, 0.250, 0.250) and Be at (0.000, 0.000, 0.500).